Record 1
# AgAsRh2, optimized geometry, DFT PBE
# space group: Pmm2 (25)
# formation enthalpy at 0 K: 60 meV/atom
data_AgAsRh2
_cell_length_a 2.876
_cell_length_b 3.895
_cell_length_c 5.759
_cell_angle_alpha 90.00
_cell_angle_beta 90.00
_cell_angle_gamma 90.00
_space_group_name_H-M_alt 'P 1'
_space_group_IT_number 1
_space_group_name_Hall 'P 1'
loop_
_atom_site_label
_atom_site_fract_x
_atom_site_fract_y
_atom_site_fract_z
Ag1 0.000 0.000 0.000
As1 0.500 0.500 0.332
Rh1 0.000 0.000 0.500
Rh2 0.500 0.500 0.753

Record 2
# Ag2AsRh, optimized geometry, DFT PBE
# space group: F-43m (216)
# formation enthalpy at 0 K: 149 meV/atom
data_Ag2AsRh
_cell_length_a 4.555
_cell_length_b 4.555
_cell_length_c 4.555
_cell_angle_alpha 60.00
_cell_angle_beta 60.00
_cell_angle_gamma 60.00
_space_group_name_H-M_alt 'P 1'
_space_group_IT_number 1
_space_group_name_Hall 'P 1'
loop_
_atom_site_label
_atom_site_fract_x
_atom_site_fract_y
_atom_site_fract_z
Ag1 0.000 0.000 0.000
Ag2 0.250 0.250 0.250
As1 0.500 0.500 0.500
Rh1 0.750 0.750 0.750

Record 3
# Ag2AsRh, optimized geometry, DFT PBE
# space group: Pmmm (47)
# formation enthalpy at 0 K: 196 meV/atom
data_Ag2AsRh
_cell_length_a 2.974
_cell_length_b 4.257
_cell_length_c 5.354
_cell_angle_alpha 90.00
_cell_angle_beta 90.00
_cell_angle_gamma 90.00
_space_group_name_H-M_alt 'P 1'
_space_group_IT_number 1
_space_group_name_Hall 'P 1'
loop_
_atom_site_label
_atom_site_fract_x
_atom_site_fract_y
_atom_site_fract_z
Ag1 0.000 0.000 0.247
Ag2 0.000 0.000 0.753
As1 0.500 0.500 0.500
Rh1 0.500 0.500 0.000

Record 4
# Ag2AsRh, optimized geometry, DFT PBE
# space group: C2/m (12)
# formation enthalpy at 0 K: 149 meV/atom
data_Ag2AsRh
_cell_length_a 5.685
_cell_length_b 5.685
_cell_length_c 2.997
_cell_angle_alpha 104.49
_cell_angle_beta 104.49
_cell_angle_gamma 123.99
_space_group_name_H-M_alt 'P 1'
_space_group_IT_number 1
_space_group_name_Hall 'P 1'
loop_
_atom_site_label
_atom_site_fract_x
_atom_site_fract_y
_atom_site_fract_z
Ag1 0.000 0.500 0.000
Ag2 0.500 0.000 0.000
As1 0.000 0.000 0.500
Rh1 0.500 0.500 0.500

Record 5
# AgAsRh2, optimized geometry, DFT PBE
# space group: Immm (71)
# formation enthalpy at 0 K: -48 meV/atom
data_AgAsRh2
_cell_length_a 4.719
_cell_length_b 4.719
_cell_length_c 4.719
_cell_angle_alpha 133.68
_cell_angle_beta 121.52
_cell_angle_gamma 77.67
_space_group_name_H-M_alt 'P 1'
_space_group_IT_number 1
_space_group_name_Hall 'P 1'
loop_
_atom_site_label
_atom_site_fract_x
_atom_site_fract_y
_atom_site_fract_z
Ag1 0.000 0.000 0.000
As1 0.500 0.500 0.000
Rh1 0.286 0.786 0.500
Rh2 0.714 0.214 0.500

Record 6
# AgAsRh2, optimized geometry, DFT PBE
# space group: I-42d (122)
# formation enthalpy at 0 K: 37 meV/atom
data_AgAsRh2
_cell_length_a 5.667
_cell_length_b 5.667
_cell_length_c 5.667
_cell_angle_alpha 103.37
_cell_angle_beta 103.37
_cell_angle_gamma 122.52
_space_group_name_H-M_alt 'P 1'
_space_group_IT_number 1
_space_group_name_Hall 'P 1'
loop_
_atom_site_label
_atom_site_fract_x
_atom_site_fract_y
_atom_site_fract_z
Ag1 0.000 0.000 0.000
Ag2 0.750 0.250 0.500
As1 0.250 0.750 0.500
As2 0.500 0.500 0.000
Rh1 0.176 0.125 0.551
Rh2 0.375 0.824 0.949
Rh3 0.574 0.625 0.449
Rh4 0.875 0.426 0.051

Record 7
# Ag2AsRh, optimized geometry, DFT PBE
# space group: R3m (160)
# formation enthalpy at 0 K: 5 meV/atom
data_Ag2AsRh
_cell_length_a 9.002
_cell_length_b 9.002
_cell_length_c 9.002
_cell_angle_alpha 19.31
_cell_angle_beta 19.31
_cell_angle_gamma 19.31
_space_group_name_H-M_alt 'P 1'
_space_group_IT_number 1
_space_group_name_Hall 'P 1'
loop_
_atom_site_label
_atom_site_fract_x
_atom_site_fract_y
_atom_site_fract_z
Ag1 0.000 0.000 0.000
Ag2 0.245 0.245 0.245
As1 0.485 0.485 0.485
Rh1 0.754 0.754 0.754

Record 8
# Ag2AsRh, optimized geometry, DFT PBE
# space group: P4mm (99)
# formation enthalpy at 0 K: -64 meV/atom
data_Ag2AsRh
_cell_length_a 3.105
_cell_length_b 3.105
_cell_length_c 7.114
_cell_angle_alpha 90.00
_cell_angle_beta 90.00
_cell_angle_gamma 90.00
_space_group_name_H-M_alt 'P 1'
_space_group_IT_number 1
_space_group_name_Hall 'P 1'
loop_
_atom_site_label
_atom_site_fract_x
_atom_site_fract_y
_atom_site_fract_z
Ag1 0.000 0.000 0.000
Ag2 0.500 0.500 0.264
As1 0.000 0.000 0.554
Rh1 0.500 0.500 0.727

Record 9
# Ag2AsRh, optimized geometry, DFT PBE
# space group: P4/mmm (123)
# formation enthalpy at 0 K: 154 meV/atom
data_Ag2AsRh
_cell_length_a 3.829
_cell_length_b 3.829
_cell_length_c 4.574
_cell_angle_alpha 90.00
_cell_angle_beta 90.00
_cell_angle_gamma 90.00
_space_group_name_H-M_alt 'P 1'
_space_group_IT_number 1
_space_group_name_Hall 'P 1'
loop_
_atom_site_label
_atom_site_fract_x
_atom_site_fract_y
_atom_site_fract_z
Ag1 0.000 0.500 0.000
Ag2 0.500 0.000 0.000
As1 0.000 0.000 0.500
Rh1 0.500 0.500 0.500

Record 10
# Ag2AsRh, optimized geometry, DFT PBE
# space group: Imm2 (44)
# formation enthalpy at 0 K: 57 meV/atom
data_Ag2AsRh
_cell_length_a 5.321
_cell_length_b 5.321
_cell_length_c 5.321
_cell_angle_alpha 142.71
_cell_angle_beta 129.72
_cell_angle_gamma 64.24
_space_group_name_H-M_alt 'P 1'
_space_group_IT_number 1
_space_group_name_Hall 'P 1'
loop_
_atom_site_label
_atom_site_fract_x
_atom_site_fract_y
_atom_site_fract_z
Ag1 0.000 0.000 0.000
Ag2 0.719 0.219 0.500
As1 0.264 0.764 0.500
Rh1 0.449 0.449 0.000

Record 11
# AgAsRh2, optimized geometry, DFT PBE
# space group: R3m (160)
# formation enthalpy at 0 K: 110 meV/atom
data_AgAsRh2
_cell_length_a 9.086
_cell_length_b 9.086
_cell_length_c 9.086
_cell_angle_alpha 18.33
_cell_angle_beta 18.33
_cell_angle_gamma 18.33
_space_group_name_H-M_alt 'P 1'
_space_group_IT_number 1
_space_group_name_Hall 'P 1'
loop_
_atom_site_label
_atom_site_fract_x
_atom_site_fract_y
_atom_site_fract_z
Ag1 0.000 0.000 0.000
As1 0.762 0.762 0.762
Rh1 0.247 0.247 0.247
Rh2 0.498 0.498 0.498

Record 12
# AgAs2Rh2, optimized geometry, DFT PBE
# space group: I4/mmm (139)
# offset from the most stable computed form: 183.7 meV/atom
# formation enthalpy at 0 K: -42 meV/atom
data_AgAs2Rh2
_cell_length_a 6.337
_cell_length_b 6.337
_cell_length_c 6.337
_cell_angle_alpha 143.57
_cell_angle_beta 143.57
_cell_angle_gamma 52.48
_space_group_name_H-M_alt 'P 1'
_space_group_IT_number 1
_space_group_name_Hall 'P 1'
loop_
_atom_site_label
_atom_site_fract_x
_atom_site_fract_y
_atom_site_fract_z
Ag1 0.000 0.000 0.000
As1 0.250 0.750 0.500
As2 0.750 0.250 0.500
Rh1 0.381 0.381 0.000
Rh2 0.619 0.619 0.000